Model 1:
# MnTlCl3

MnTlCl3 after structural relaxation (PBE, Alexandria).

Summary:
Its calculated volume is 25.77 A^3/atom. The calculation puts the total magnetization at 1.000 μB/atom.

Geometry as POSCAR:
```
MnTlCl3
1.0
-3.4208 1.0458 -1.3083
1.5861 -6.0304 -3.4305
-4.3349 -5.2161 7.1650
Mn Tl Cl
2 2 6
Cartesian
-6.0453 -4.6932 6.5108
-3.8778 -2.0852 2.9284
-2.8602 -3.6943 -1.0237
-3.3094 -6.5064 3.4498
-4.1580 -6.4786 0.1408
-2.0116 -3.7221 2.2854
-0.2146 -1.5597 -0.6849
-5.9550 -8.6410 3.1111
-1.1945 -6.2347 -1.8653
-4.9751 -3.9659 4.2915
```

Model 2:
# MnTlCl3

MnTlCl3 after structural relaxation (PBE, Alexandria).

Summary:
Its calculated volume is 26.20 A^3/atom. The calculation puts the total magnetization at 1.000 μB/atom.

Geometry as POSCAR:
```
MnTlCl3
1.0
3.8626 0.0000 0.0000
0.0000 9.1624 0.0000
0.0000 0.0000 14.8077
Mn Tl Cl
4 4 12
Cartesian
2.8970 7.6689 14.0424
0.9657 1.4935 0.7653
0.9657 6.0746 6.6385
2.8970 3.0877 8.1691
2.8970 5.0367 2.6322
0.9657 4.1256 12.1755
0.9657 8.7068 10.0360
2.8970 0.4556 4.7717
0.9657 2.4764 2.9938
2.8970 7.5139 7.4836
2.8970 4.4135 5.9704
2.8970 8.9947 1.4335
2.8970 2.9327 14.7279
0.9657 0.1676 13.3742
2.8970 2.1048 10.3977
0.9657 4.7488 8.8373
0.9657 1.6485 7.3241
0.9657 7.0576 4.4100
0.9657 6.2297 0.0797
2.8970 6.6860 11.8138
```

It turns out model 2 is the most stable, with the second structure 16 meV/atom higher.

Model 1:
# Mn2TlCl

Mn2TlCl after structural relaxation (PBE, Alexandria).

Summary:
Its calculated volume is 19.22 A^3/atom. The calculation puts the total magnetization at 2.039 μB/atom.

Geometry as POSCAR:
```
Mn2TlCl
1.0
3.1679 0.0000 0.0000
0.0000 3.1679 0.0000
0.0000 0.0000 7.6601
Cl Mn Tl
1 2 1
Cartesian
1.5839 1.5839 5.7451
0.0000 0.0000 7.5927
0.0000 0.0000 3.8975
1.5839 1.5839 1.9150
```

Model 2:
# Mn2TlCl

Mn2TlCl after structural relaxation (PBE, Alexandria).

Summary:
Its calculated volume is 19.57 A^3/atom. The calculation puts the total magnetization at 1.923 μB/atom.

Geometry as POSCAR:
```
Mn2TlCl
1.0
0.0000 3.3950 3.3950
3.3950 0.0000 3.3950
3.3950 3.3950 0.0000
Tl Mn Cl
1 2 1
Cartesian
3.3950 3.3950 3.3950
1.6975 1.6975 1.6975
5.0925 5.0925 5.0925
0.0000 0.0000 0.0000
```

It turns out model 1 is the most stable, with the second structure 172 meV/atom higher.

Model 1:
# MnTl3Cl4

MnTl3Cl4 after structural relaxation (PBE, Alexandria).

Summary:
Its calculated volume is 30.73 A^3/atom. The calculation puts the total magnetization at 0.623 μB/atom.

Geometry as POSCAR:
```
MnTl3Cl4
1.0
-5.5561 -2.6188 -3.2126
2.9902 -5.1338 -0.9867
-3.9238 -4.2564 10.2556
Mn Tl Cl
2 6 8
Cartesian
1.1058 -2.6712 -0.6856
-3.5618 -6.2331 2.8120
-3.0027 -1.7583 -1.8786
-2.9080 -7.7300 -1.0121
-2.4558 -2.5449 1.4573
0.4901 -7.1727 3.9723
-4.3758 -4.6276 6.4756
-4.9118 -9.9036 4.2252
-0.1070 -0.6462 -0.3091
-2.3826 -4.7938 -2.9012
-0.0899 -4.3387 0.4498
-4.0689 -5.3682 0.6921
-1.9313 -4.9862 3.9534
-2.4012 -8.2828 2.4054
-5.3948 -6.8065 4.1577
-2.6878 -7.1568 7.2399
```

Model 2:
# MnTl3Cl4

MnTl3Cl4 after structural relaxation (PBE, Alexandria).

Summary:
Its calculated volume is 39.63 A^3/atom. The calculation puts the total magnetization at 0.520 μB/atom.

Geometry as POSCAR:
```
MnTl3Cl4
1.0
6.7731 -1.2870 -4.5943
-4.6432 6.7803 1.0519
-0.8814 1.2870 8.1367
Tl Mn Cl
3 1 4
Cartesian
-2.7623 4.0337 4.5943
-0.3162 4.7635 0.5260
1.5647 2.0168 4.0683
0.0000 0.0000 0.0000
-3.3426 4.8810 1.5405
1.0415 1.8993 0.9196
-0.8989 6.4958 5.5139
-1.0762 1.5715 5.8088
```

It turns out model 1 is the most stable, with the second structure 83 meV/atom higher.

Model 1:
# Mn3TlCl

Mn3TlCl after structural relaxation (PBE, Alexandria).

Summary:
Its calculated volume is 29.39 A^3/atom. The calculation puts the total magnetization at 2.946 μB/atom.

Geometry as POSCAR:
```
Mn3TlCl
1.0
5.2769 0.0000 0.0000
0.0000 5.2769 0.0000
0.0000 0.0000 5.2769
Tl Mn Cl
1 3 1
Cartesian
0.0000 0.0000 0.0000
0.0000 2.6385 0.0000
0.0000 0.0000 2.6385
2.6385 0.0000 0.0000
2.6385 2.6385 2.6385
```

Model 2:
# Mn3TlCl

Mn3TlCl after structural relaxation (PBE, Alexandria).

Summary:
Its calculated volume is 18.20 A^3/atom. The calculation puts the total magnetization at 2.020 μB/atom.

Geometry as POSCAR:
```
Mn3TlCl
1.0
4.4976 0.0000 0.0000
0.0000 4.4976 0.0000
0.0000 0.0000 4.4976
Tl Mn Cl
1 3 1
Cartesian
2.2488 2.2488 2.2488
0.0000 2.2488 0.0000
0.0000 0.0000 2.2488
2.2488 0.0000 0.0000
0.0000 0.0000 0.0000
```

It turns out model 2 is the most stable, with the second structure 298 meV/atom higher.